! ScZn4Te, relaxed, DFT PBE-GGA; values from VASP
&SYSTEM
  ibrav = 0, nat = 6, ntyp = 3
/
ATOMIC_SPECIES
Te 127.60 Te.upf
Zn 65.41 Zn.upf
Sc 44.96 Sc.upf
CELL_PARAMETERS angstrom
0.000 3.819 3.819
3.819 0.000 3.819
3.819 3.819 0.000
ATOMIC_POSITIONS crystal
Te 0.000 0.000 0.000
Zn 0.376 0.376 0.376
Zn 0.871 0.376 0.376
Sc 0.750 0.750 0.750
Zn 0.376 0.871 0.376
Zn 0.376 0.376 0.871
! Space group: F-43m
! Formation energy without anion corrections: -0.060 eV per atom
! Calculated volume: 18.6 Å³ per atom

! ScZn2Te, relaxed, DFT PBE-GGA; values from VASP
&SYSTEM
  ibrav = 0, nat = 4, ntyp = 3
/
ATOMIC_SPECIES
Zn 65.41 Zn.upf
Sc 44.96 Sc.upf
Te 127.60 Te.upf
CELL_PARAMETERS angstrom
3.741 0.000 0.000
0.000 4.405 -0.039
0.000 2.783 5.207
ATOMIC_POSITIONS crystal
Zn 0.000 0.000 0.000
Sc 0.500 0.500 0.500
Te 0.000 0.000 0.500
Zn 0.500 0.500 0.000
! Space group: P2/m
! Formation energy without anion corrections: -0.284 eV per atom
! Calculated volume: 21.6 Å³ per atom

! ScZn2Te, relaxed, DFT PBE-GGA; values from VASP
&SYSTEM
  ibrav = 0, nat = 4, ntyp = 3
/
ATOMIC_SPECIES
Te 127.60 Te.upf
Sc 44.96 Sc.upf
Zn 65.41 Zn.upf
CELL_PARAMETERS angstrom
3.706 0.000 0.000
0.000 3.706 0.000
0.000 0.000 6.041
ATOMIC_POSITIONS crystal
Te 0.500 0.500 0.726
Sc 0.000 0.000 0.509
Zn 0.000 0.000 0.041
Zn 0.500 0.500 0.223
! Space group: P4mm
! Formation energy without anion corrections: -0.377 eV per atom
! Calculated volume: 20.7 Å³ per atom

! ScZn2Te, relaxed, DFT PBE-GGA; values from VASP
&SYSTEM
  ibrav = 0, nat = 8, ntyp = 3
/
ATOMIC_SPECIES
Sc 44.96 Sc.upf
Zn 65.41 Zn.upf
Te 127.60 Te.upf
CELL_PARAMETERS angstrom
-4.786 -2.551 -5.795
-0.390 -7.132 3.461
-4.830 -4.000 0.314
ATOMIC_POSITIONS crystal
Sc 0.500 0.500 0.000
Zn 0.117 0.625 0.250
Te 0.000 0.000 0.000
Sc 0.250 0.750 0.500
Zn 0.875 0.883 0.750
Zn 0.633 0.125 0.250
Te 0.750 0.250 0.500
Zn 0.375 0.367 0.750
! Space group: I-42d
! Formation energy without anion corrections: -0.224 eV per atom
! Calculated volume: 22.2 Å³ per atom

! ScZn2Te, relaxed, DFT PBE-GGA; values from VASP
&SYSTEM
  ibrav = 0, nat = 4, ntyp = 3
/
ATOMIC_SPECIES
Zn 65.41 Zn.upf
Sc 44.96 Sc.upf
Te 127.60 Te.upf
CELL_PARAMETERS angstrom
3.875 0.000 0.000
0.000 3.873 0.105
0.000 -0.172 5.727
ATOMIC_POSITIONS crystal
Zn 0.500 0.373 0.139
Sc 0.000 0.376 0.510
Te 0.500 0.877 0.713
Zn 0.000 0.874 0.139
! Space group: Pm
! Formation energy without anion corrections: -0.436 eV per atom
! Calculated volume: 21.5 Å³ per atom

! ScZn2Te, relaxed, DFT PBE-GGA; values from VASP
&SYSTEM
  ibrav = 0, nat = 4, ntyp = 3
/
ATOMIC_SPECIES
Zn 65.41 Zn.upf
Te 127.60 Te.upf
Sc 44.96 Sc.upf
CELL_PARAMETERS angstrom
6.017 0.034 0.021
4.750 3.694 0.021
1.367 0.473 3.813
ATOMIC_POSITIONS crystal
Zn 0.000 0.000 0.000
Zn 0.500 0.500 0.500
Te 0.750 0.750 0.750
Sc 0.250 0.250 0.250
! Space group: Immm
! Formation energy without anion corrections: -0.322 eV per atom
! Calculated volume: 21.0 Å³ per atom

! Sc2ZnTe2, relaxed, DFT PBE-GGA; values from VASP
&SYSTEM
  ibrav = 0, nat = 10, ntyp = 3
/
ATOMIC_SPECIES
Sc 44.96 Sc.upf
Zn 65.41 Zn.upf
Te 127.60 Te.upf
CELL_PARAMETERS angstrom
-7.415 0.607 3.011
1.523 -6.107 4.981
1.241 2.407 2.571
ATOMIC_POSITIONS crystal
Sc 0.355 0.145 0.500
Sc 0.645 0.855 0.500
Zn 0.000 0.000 0.000
Sc 0.855 0.355 0.500
Zn 0.500 0.500 0.000
Te 0.151 0.349 0.000
Te 0.849 0.651 0.000
Te 0.651 0.151 0.000
Te 0.349 0.849 0.000
Sc 0.145 0.645 0.500
! Space group: P4/mbm
! Formation energy without anion corrections: -0.629 eV per atom
! Calculated volume: 24.1 Å³ per atom
! Polymorph energy (0 for the lowest one): 112 meV/atom

! ScZnTe3, relaxed, DFT PBE-GGA; values from VASP
&SYSTEM
  ibrav = 0, nat = 10, ntyp = 3
/
ATOMIC_SPECIES
Te 127.60 Te.upf
Zn 65.41 Zn.upf
Sc 44.96 Sc.upf
CELL_PARAMETERS angstrom
-3.687 -1.718 1.156
-0.781 -2.268 -5.858
6.091 -8.604 6.642
ATOMIC_POSITIONS crystal
Te 0.250 0.145 0.395
Te 0.750 0.847 0.077
Zn 0.750 0.884 0.385
Te 0.250 0.494 0.780
Zn 0.250 0.116 0.615
Sc 0.250 0.179 0.165
Te 0.750 0.506 0.220
Sc 0.750 0.821 0.835
Te 0.250 0.153 0.923
Te 0.750 0.855 0.605
! Space group: P2_1/m
! Formation energy without anion corrections: -0.664 eV per atom
! Calculated volume: 31.8 Å³ per atom
! Polymorph energy (0 for the lowest one): 0 meV/atom

! ScZn2Te, relaxed, DFT PBE-GGA; values from VASP
&SYSTEM
  ibrav = 0, nat = 4, ntyp = 3
/
ATOMIC_SPECIES
Sc 44.96 Sc.upf
Te 127.60 Te.upf
Zn 65.41 Zn.upf
CELL_PARAMETERS angstrom
-3.207 1.399 -4.186
-4.628 -1.941 -2.141
-3.344 2.166 1.213
ATOMIC_POSITIONS crystal
Sc 0.500 0.500 0.500
Te 0.250 0.250 0.250
Zn 0.000 0.000 0.000
Zn 0.750 0.750 0.750
! Space group: I-4m2
! Formation energy without anion corrections: -0.354 eV per atom
! Calculated volume: 19.9 Å³ per atom

! ScZn3Te, relaxed, DFT PBE-GGA; values from VASP
&SYSTEM
  ibrav = 0, nat = 5, ntyp = 3
/
ATOMIC_SPECIES
Sc 44.96 Sc.upf
Zn 65.41 Zn.upf
Te 127.60 Te.upf
CELL_PARAMETERS angstrom
5.270 0.000 0.000
0.000 5.270 0.000
0.000 0.000 5.270
ATOMIC_POSITIONS crystal
Sc 0.000 0.000 0.000
Zn 0.500 0.000 0.000
Te 0.500 0.500 0.500
Zn 0.000 0.000 0.500
Zn 0.000 0.500 0.000
! Space group: Pm-3m
! Formation energy without anion corrections: 0.641 eV per atom
! Calculated volume: 29.3 Å³ per atom
! Polymorph energy (0 for the lowest one): 0 meV/atom

! Sc4ZnTe, relaxed, DFT PBE-GGA; values from VASP
&SYSTEM
  ibrav = 0, nat = 6, ntyp = 3
/
ATOMIC_SPECIES
Sc 44.96 Sc.upf
Zn 65.41 Zn.upf
Te 127.60 Te.upf
CELL_PARAMETERS angstrom
0.000 4.135 4.135
4.135 0.000 4.135
4.135 4.135 0.000
ATOMIC_POSITIONS crystal
Sc 0.374 0.374 0.877
Sc 0.877 0.374 0.374
Zn 0.000 0.000 0.000
Te 0.750 0.750 0.750
Sc 0.374 0.374 0.374
Sc 0.374 0.877 0.374
! Space group: F-43m
! Formation energy without anion corrections: 0.132 eV per atom
! Calculated volume: 23.6 Å³ per atom

! ScZn2Te, relaxed, DFT PBE-GGA; values from VASP
&SYSTEM
  ibrav = 0, nat = 4, ntyp = 3
/
ATOMIC_SPECIES
Te 127.60 Te.upf
Zn 65.41 Zn.upf
Sc 44.96 Sc.upf
CELL_PARAMETERS angstrom
3.837 0.008 0.000
-0.008 3.837 0.000
0.000 0.000 5.616
ATOMIC_POSITIONS crystal
Te 0.500 0.500 0.750
Zn 0.000 0.000 0.484
Zn 0.000 0.000 0.016
Sc 0.500 0.500 0.250
! Space group: P4/mmm
! Formation energy without anion corrections: -0.227 eV per atom
! Calculated volume: 20.7 Å³ per atom